Entry 1:
KTl2AgF8 PBE relaxed; formation energy from raw total energies = -2151 kJ/mol of formula units; DOS at the Fermi energy = 5.67 states/eV/cell; total DFT energy (no corrections) = -45.94 eV/cell
1.0
4.114 0.000 0.000
-0.407 6.158 0.000
-0.070 -0.244 7.573
K Tl Ag F
1 2 1 8
Direct
0.000 0.000 0.000
0.454 0.496 0.748
0.546 0.504 0.252
0.000 0.000 0.500
0.055 0.337 0.245
0.072 0.237 0.733
0.435 0.711 0.510
0.450 0.709 0.006
0.550 0.291 0.994
0.565 0.289 0.490
0.928 0.763 0.267
0.945 0.663 0.755

***

Entry 2:
KTmAg2F8 PBE relaxed; formation energy from raw total energies = -2732 kJ/mol of formula units; DOS at the Fermi energy = 1.92 states/eV/cell; total DFT energy (no corrections) = -54.56 eV/cell
1.0
-2.975 2.975 5.173
2.975 -2.975 5.173
2.975 2.975 -5.173
K Tm Ag F
1 1 2 8
Direct
0.000 0.000 0.000
0.250 0.750 0.500
0.500 0.500 0.000
0.750 0.250 0.500
0.008 0.019 0.428
0.244 0.450 0.564
0.320 0.756 0.206
0.421 0.992 0.012
0.550 0.114 0.794
0.591 0.579 0.572
0.886 0.680 0.436
0.981 0.409 0.988

***

Entry 3:
KTmAgF5 PBE relaxed; formation energy from raw total energies = -2328 kJ/mol of formula units; DOS at the Fermi energy = 0.00 states/eV/cell; total DFT energy (no corrections) = -83.82 eV/cell
1.0
3.447 -5.452 0.000
3.447 5.452 0.000
-1.736 0.000 7.862
K Tm Ag F
2 2 2 10
Direct
0.158 0.842 0.750
0.842 0.158 0.250
0.500 0.500 0.000
0.500 0.500 0.500
0.168 0.832 0.250
0.832 0.168 0.750
0.137 0.263 0.977
0.210 0.552 0.398
0.263 0.137 0.477
0.424 0.576 0.750
0.448 0.790 0.102
0.552 0.210 0.898
0.576 0.424 0.250
0.737 0.863 0.523
0.790 0.448 0.602
0.863 0.737 0.023

***

Entry 4:
K2TmAgF6 PBE relaxed; formation energy from raw total energies = -2894 kJ/mol of formula units; DOS at the Fermi energy = 0.00 states/eV/cell; total DFT energy (no corrections) = -101.49 eV/cell
1.0
6.291 0.000 0.000
0.000 6.513 0.000
-6.170 0.000 8.769
K Tm Ag F
4 2 2 12
Direct
0.234 0.051 0.248
0.234 0.449 0.748
0.766 0.551 0.252
0.766 0.949 0.752
0.500 0.000 0.000
0.500 0.500 0.500
0.000 0.000 0.500
0.000 0.500 0.000
0.178 0.181 0.956
0.178 0.319 0.456
0.266 0.729 0.942
0.266 0.771 0.442
0.364 0.043 0.766
0.364 0.457 0.266
0.636 0.543 0.734
0.636 0.957 0.234
0.734 0.229 0.558
0.734 0.271 0.058
0.822 0.681 0.544
0.822 0.819 0.044

***

Which of these has the highest total DFT energy (no corrections)? KTl2AgF8